The following is a DFT calculation (GGA-PBEsol) of a geometry-optimized Y2Ir structure.

a b c (Å): 4.7946 4.7946 3.0455
angles (deg): 90.00 90.00 120.00
Last column: nearest neighbours and their distance in Å.
Element x y z (fractional)
Y 0.3333 0.6667 0.0000  5 Y 2.77-3.05
Y 0.6667 0.3333 0.0000  5 Y 2.77-3.05
Ir 0.0000 0.0000 0.5000  2 Ir 3.05, 12 Y 3.16

As for the space group: P6/mmm, No. 191. The density of states at the Fermi level is 1.102 states/eV/atom.

=====

The following is a DFT calculation (GGA-PBEsol) of a geometry-optimized Y2Ir structure.

a b c (Å): 5.9984 5.9984 7.8384
angles (deg): 120.20 120.20 37.52
Last column: nearest neighbours and their distance in Å.
Element x y z (fractional)
Y 0.0830 0.0830 0.3772  4 Ir 2.89-2.98
Y 0.3275 0.3275 0.9190  3 Ir 2.76-2.91
Y 0.6725 0.6725 0.0810  3 Ir 2.76-2.91
Y 0.9170 0.9170 0.6228  4 Ir 2.89-2.98
Ir 0.3643 0.3643 0.3158  7 Y 2.76-2.98, 1 Ir 2.90
Ir 0.6357 0.6357 0.6842  7 Y 2.76-2.98, 1 Ir 2.90

As for the space group: C2/m, No. 12. The density of states at the Fermi level is 0.980 states/eV/atom.

=====

The following is a DFT calculation (GGA-PBEsol) of a geometry-optimized Y5Ir3 structure.

a b c (Å): 8.2705 8.2705 8.2705
angles (deg): 97.42 97.42 137.88
Last column: nearest neighbours and their distance in Å.
Element x y z (fractional)
Y 0.0823 0.7899 0.8722  4 Ir 2.88-2.99, 1 Y 3.20
Y 0.2101 0.0823 0.2924  4 Ir 2.88-2.99, 1 Y 3.20
Y 0.2500 0.7500 0.5000  4 Ir 2.84, 2 Y 2.97
Y 0.2899 0.5823 0.8722  4 Ir 2.88-2.99, 1 Y 3.20
Y 0.4177 0.2899 0.7076  4 Ir 2.88-2.99, 1 Y 3.20
Y 0.5823 0.7101 0.2924  4 Ir 2.88-2.99, 1 Y 3.20
Y 0.7101 0.4177 0.1278  4 Ir 2.88-2.99, 1 Y 3.20
Y 0.7500 0.2500 0.5000  4 Ir 2.84, 2 Y 2.97
Y 0.7899 0.9177 0.7076  4 Ir 2.88-2.99, 1 Y 3.20
Y 0.9177 0.2101 0.1278  4 Ir 2.88-2.99, 1 Y 3.20
Ir 0.1568 0.3432 0.5000  6 Y 2.84-2.99
Ir 0.2500 0.2500 0.0000  8 Y 2.88, 2 Ir 2.97
Ir 0.3432 0.8432 0.1864  6 Y 2.84-2.99
Ir 0.6568 0.1568 0.8136  6 Y 2.84-2.99
Ir 0.7500 0.7500 0.0000  8 Y 2.88, 2 Ir 2.97
Ir 0.8432 0.6568 0.5000  6 Y 2.84-2.99

As for the space group: I4/mcm, No. 140. The density of states at the Fermi level is 0.704 states/eV/atom.

=====

The following is a DFT calculation (GGA-PBEsol) of a geometry-optimized YIr2 structure.

a b c (Å): 6.4547 6.4547 5.8521
angles (deg): 104.15 104.15 26.04
Last column: nearest neighbours and their distance in Å.
Element x y z (fractional)
Y 0.1482 0.1482 0.0969  8 Ir 2.83-3.05, 2 Y 2.91
Y 0.8518 0.8518 0.9031  8 Ir 2.83-3.05, 2 Y 2.91
Ir 0.1695 0.1695 0.5891  8 Ir 2.78-2.91, 4 Y 2.83-3.05
Ir 0.4932 0.4932 0.2784  3 Ir 2.56-2.78, 4 Y 2.84-2.85
Ir 0.5068 0.5068 0.7216  3 Ir 2.56-2.78, 4 Y 2.84-2.85
Ir 0.8305 0.8305 0.4109  8 Ir 2.78-2.91, 4 Y 2.83-3.05

As for the space group: C2/m, No. 12. The density of states at the Fermi level is 1.056 states/eV/atom.

=====

The following is a DFT calculation (GGA-PBEsol) of a geometry-optimized Y5Ir3 structure.

a b c (Å): 10.7664 10.7664 6.2668
angles (deg): 90.00 90.00 90.00
Last column: nearest neighbours and their distance in Å.
Element x y z (fractional)
Y 0.0413 0.1621 0.1215  5 Ir 2.85-3.10
Y 0.0413 0.3379 0.6215  5 Ir 2.85-3.10
Y 0.1621 0.0413 0.6215  5 Ir 2.85-3.10
Y 0.1621 0.4587 0.1215  5 Ir 2.85-3.10
Y 0.2500 0.7500 0.0000  4 Ir 2.82, 2 Y 3.13
Y 0.2500 0.7500 0.5000  4 Ir 2.82, 2 Y 3.13
Y 0.3379 0.0413 0.1215  5 Ir 2.85-3.10
Y 0.3379 0.4587 0.6215  5 Ir 2.85-3.10
Y 0.4587 0.1621 0.6215  5 Ir 2.85-3.10
Y 0.4587 0.3379 0.1215  5 Ir 2.85-3.10
Y 0.5413 0.6621 0.8785  5 Ir 2.85-3.10
Y 0.5413 0.8379 0.3785  5 Ir 2.85-3.10
Y 0.6621 0.5413 0.3785  5 Ir 2.85-3.10
Y 0.6621 0.9587 0.8785  5 Ir 2.85-3.10
Y 0.7500 0.2500 0.0000  4 Ir 2.82, 2 Y 3.13
Y 0.7500 0.2500 0.5000  4 Ir 2.82, 2 Y 3.13
Y 0.8379 0.5413 0.8785  5 Ir 2.85-3.10
Y 0.8379 0.9587 0.3785  5 Ir 2.85-3.10
Y 0.9587 0.6621 0.3785  5 Ir 2.85-3.10
Y 0.9587 0.8379 0.8785  5 Ir 2.85-3.10
Ir 0.0962 0.5962 0.7500  8 Y 2.82-3.10
Ir 0.0962 0.9038 0.2500  8 Y 2.82-3.10
Ir 0.2500 0.2500 0.3736  8 Y 2.89-2.91, 2 Ir 3.13
Ir 0.2500 0.2500 0.8736  8 Y 2.89-2.91, 2 Ir 3.13
Ir 0.4038 0.5962 0.2500  8 Y 2.82-3.10
Ir 0.4038 0.9038 0.7500  8 Y 2.82-3.10
Ir 0.5962 0.0962 0.2500  8 Y 2.82-3.10
Ir 0.5962 0.4038 0.7500  8 Y 2.82-3.10
Ir 0.7500 0.7500 0.1264  8 Y 2.89-2.91, 2 Ir 3.13
Ir 0.7500 0.7500 0.6264  8 Y 2.89-2.91, 2 Ir 3.13
Ir 0.9038 0.0962 0.7500  8 Y 2.82-3.10
Ir 0.9038 0.4038 0.2500  8 Y 2.82-3.10

As for the space group: P4/ncc, No. 130. The density of states at the Fermi level is 0.601 states/eV/atom.

=====

The following is a DFT calculation (GGA-PBEsol) of a geometry-optimized Y2Ir structure.

a b c (Å): 7.3165 7.3165 4.5046
angles (deg): 90.00 90.00 120.00
Last column: nearest neighbours and their distance in Å.
Element x y z (fractional)
Y 0.0000 0.4113 0.0000  5 Ir 3.01-3.16, 2 Y 3.29
Y 0.0000 0.7398 0.5000  4 Ir 2.75-2.95
Y 0.2602 0.2602 0.5000  4 Ir 2.75-2.95
Y 0.4113 0.0000 0.0000  5 Ir 3.01-3.16, 2 Y 3.29
Y 0.5887 0.5887 0.0000  5 Ir 3.01-3.16, 2 Y 3.29
Y 0.7398 0.0000 0.5000  4 Ir 2.75-2.95
Ir 0.0000 0.0000 0.0000  9 Y 2.95-3.01
Ir 0.3333 0.6667 0.5000  3 Y 2.75
Ir 0.6667 0.3333 0.5000  3 Y 2.75

As for the space group: P-62m, No. 189. The density of states at the Fermi level is 1.227 states/eV/atom.

=====

The following is a DFT calculation (GGA-PBEsol) of a geometry-optimized Y5Ir3 structure.

a b c (Å): 8.2253 8.2253 6.1243
angles (deg): 90.00 90.00 120.00
Last column: nearest neighbours and their distance in Å.
Element x y z (fractional)
Y 0.0000 0.2601 0.2500  3 Ir 2.83-2.88
Y 0.0000 0.7399 0.7500  3 Ir 2.83-2.88
Y 0.2601 0.0000 0.2500  3 Ir 2.83-2.88
Y 0.2601 0.2601 0.7500  3 Ir 2.83-2.88
Y 0.3333 0.6667 0.0000  6 Ir 2.97, 2 Y 3.06
Y 0.3333 0.6667 0.5000  6 Ir 2.97, 2 Y 3.06
Y 0.6667 0.3333 0.0000  6 Ir 2.97, 2 Y 3.06
Y 0.6667 0.3333 0.5000  6 Ir 2.97, 2 Y 3.06
Y 0.7399 0.0000 0.7500  3 Ir 2.83-2.88
Y 0.7399 0.7399 0.2500  3 Ir 2.83-2.88
Ir 0.0000 0.3901 0.7500  7 Y 2.83-2.97
Ir 0.0000 0.6099 0.2500  7 Y 2.83-2.97
Ir 0.3901 0.0000 0.7500  7 Y 2.83-2.97
Ir 0.3901 0.3901 0.2500  7 Y 2.83-2.97
Ir 0.6099 0.0000 0.2500  7 Y 2.83-2.97
Ir 0.6099 0.6099 0.7500  7 Y 2.83-2.97

As for the space group: P6_3/mcm, No. 193. The density of states at the Fermi level is 0.678 states/eV/atom.

=====

The following is a DFT calculation (GGA-PBEsol) of a geometry-optimized YIr2 structure.

a b c (Å): 6.4328 6.4328 6.4328
angles (deg): 153.86 153.86 37.31
Last column: nearest neighbours and their distance in Å.
Element x y z (fractional)
Y 0.0000 0.0000 0.0000  4 Y 2.91, 8 Ir 3.01
Ir 0.3202 0.3202 0.0000  8 Ir 2.68-2.91
Ir 0.6798 0.6798 0.0000  8 Ir 2.68-2.91

As for the space group: I4/mmm, No. 139. The density of states at the Fermi level is 1.340 states/eV/atom.

=====

The following is a DFT calculation (GGA-PBEsol) of a geometry-optimized YIr2 structure.

a b c (Å): 7.6157 7.6157 4.6512
angles (deg): 90.00 90.00 157.47
Last column: nearest neighbours and their distance in Å.
Element x y z (fractional)
Y 0.0979 0.9021 0.7500  10 Ir 2.78-3.03, 2 Y 2.98
Y 0.9021 0.0979 0.2500  10 Ir 2.78-3.03, 2 Y 2.98
Ir 0.2282 0.7718 0.2500  8 Ir 2.74-2.98, 4 Y 2.99-3.03
Ir 0.4257 0.5743 0.7500  4 Ir 2.74-2.98, 6 Y 2.78-2.97
Ir 0.5743 0.4257 0.2500  4 Ir 2.74-2.98, 6 Y 2.78-2.97
Ir 0.7718 0.2282 0.7500  8 Ir 2.74-2.98, 4 Y 2.99-3.03

As for the space group: Cmcm, No. 63. The density of states at the Fermi level is 1.323 states/eV/atom.

=====

The following is a DFT calculation (GGA-PBEsol) of a geometry-optimized YIr structure.

a b c (Å): 5.6269 5.6269 5.6269
angles (deg): 138.52 138.52 60.11
Last column: nearest neighbours and their distance in Å.
Element x y z (fractional)
Y 0.3750 0.6250 0.7500  8 Ir 2.82-3.15, 4 Y 3.15
Y 0.6250 0.3750 0.2500  8 Ir 2.82-3.15, 4 Y 3.15
Ir 0.1250 0.8750 0.2500  8 Y 2.82-3.15, 4 Ir 3.15
Ir 0.8750 0.1250 0.7500  8 Y 2.82-3.15, 4 Ir 3.15

As for the space group: I4_1/amd, No. 141. The density of states at the Fermi level is 0.606 states/eV/atom.

=====

The following is a DFT calculation (GGA-PBEsol) of a geometry-optimized Y2Ir structure.

a b c (Å): 6.2804 6.2804 6.5616
angles (deg): 90.00 90.00 145.57
Last column: nearest neighbours and their distance in Å.
Element x y z (fractional)
Y 0.0147 0.9853 0.5000  4 Ir 2.83-2.89
Y 0.2817 0.7183 0.3115  3 Ir 2.78-2.94
Y 0.7183 0.2817 0.8115  3 Ir 2.78-2.94
Y 0.9853 0.0147 0.0000  4 Ir 2.83-2.89
Ir 0.3828 0.6172 0.7188  7 Y 2.78-2.94
Ir 0.6172 0.3828 0.2188  7 Y 2.78-2.94

As for the space group: Cmc2_1, No. 36. The density of states at the Fermi level is 0.677 states/eV/atom.

=====

The following is a DFT calculation (GGA-PBEsol) of a geometry-optimized YIr2 structure.

a b c (Å): 5.2965 5.2965 5.2965
angles (deg): 60.00 60.00 60.00
Last column: nearest neighbours and their distance in Å.
Element x y z (fractional)
Y 0.1250 0.1250 0.1250  12 Ir 3.11, 4 Y 3.24
Y 0.8750 0.8750 0.8750  12 Ir 3.11, 4 Y 3.24
Ir 0.0000 0.5000 0.5000  6 Ir 2.65
Ir 0.5000 0.0000 0.5000  6 Ir 2.65
Ir 0.5000 0.5000 0.0000  6 Ir 2.65
Ir 0.5000 0.5000 0.5000  6 Ir 2.65

As for the space group: Fd-3m, No. 227. The density of states at the Fermi level is 0.742 states/eV/atom.

=====

The following is a DFT calculation (GGA-PBEsol) of a geometry-optimized Y5Ir structure.

a b c (Å): 6.2237 6.2237 8.1829
angles (deg): 110.62 110.62 33.48
Last column: nearest neighbours and their distance in Å.
Element x y z (fractional)
Y 0.0000 0.0000 0.0000  12 Y 3.38-3.73
Y 0.3355 0.3355 0.2108  2 Ir 3.04, 2 Y 3.29
Y 0.3679 0.3679 0.6278  2 Ir 2.83
Y 0.6321 0.6321 0.3722  2 Ir 2.83
Y 0.6645 0.6645 0.7892  2 Ir 3.04, 2 Y 3.29
Ir 0.0000 0.0000 0.5000  8 Y 2.83-3.04

As for the space group: C2/m, No. 12. The density of states at the Fermi level is 1.344 states/eV/atom.

=====

| no. | formation enthalpy at 0 K (eV per atom) |
| --- | --- |
| 1 | -0.07 |
| 2 | -0.63 |
| 3 | -0.68 |
| 4 | -0.18 |
| 5 | -0.75 |
| 6 | -0.63 |
| 7 | -0.72 |
| 8 | -0.15 |
| 9 | -0.19 |
| 10 | -0.52 |
| 11 | -0.62 |
| 12 | -0.80 |
| 13 | -0.28 |